Material: SrGaMoO5
Method: DFT, PBE with a Hubbard U
State: optimized geometry

As for the electronic total energy: -6.707 eV/atom. The total moment is 1.00 μB per formula unit.

It has space group C2/c (No. 15), with a = 7.020 Å, b = 9.338 Å, c = 7.613 Å, α = 90.00°, β = 115.21° and γ = 90.00°. The inequivalent atoms are Sr at (0.000, 0.175, 0.250), Ga at (0.000, 0.190, 0.750), Mo at (0.000, 0.500, 0.000), O at (0.000, 0.441, 0.250), O at (0.093, 0.294, 0.594) and O at (0.204, 0.057, 0.903).